Entry 1:
First-principles (GGA-PBE) data for crystalline LuTaIr2 at its relaxed geometry, as listed in Alexandria via LeMat-Bulk.

Calculated values
Density   16.838 g cm⁻³
Density of states at the Fermi level   2.95 states/eV/cell
Total magnetic moment   0.0 μB per formula unit
DFT formation energy   -0.592 eV/atom

a b c (Å): 4.909 4.909 4.909
angles (deg): 54.54 54.54 54.54
Fractional positions:
1 Lu 0.000 0.000 0.000
2 Ta 0.500 0.500 0.500
3 Ir 0.229 0.229 0.229
4 Ir 0.771 0.771 0.771



Entry 2:
First-principles (GGA-PBE) data for crystalline Nd2Sm3Zn2 at its relaxed geometry, as listed in Alexandria via LeMat-Bulk.

Calculated values
Density   7.037 g cm⁻³
Density of states at the Fermi level   7.97 states/eV/cell
Total magnetic moment   0.6 μB per formula unit
DFT formation energy   -0.120 eV/atom

a b c (Å): 15.473 15.473 3.623
angles (deg): 90.00 90.00 166.30
Fractional positions:
1 Nd 0.200 0.800 0.000
2 Nd 0.800 0.200 0.000
3 Sm 0.084 0.916 0.000
4 Sm 0.500 0.500 0.500
5 Sm 0.916 0.084 0.000
6 Zn 0.359 0.641 0.500
7 Zn 0.641 0.359 0.500



| no. | polymorph energy (0 for the lowest one) (eV/atom) |
| --- | --- |
| 1 | 0.0426 |
| 2 | 0.0000 |